Entry 1:
DFT (GGA-PBE) results for crystalline HgOs8 at its relaxed geometry.

The density of states at the Fermi level comes out at 6.59 states/eV/f.u. The value obtained for the density is 21.163 g cm⁻³. For the formation energy from the elements, the calculation gives 347 meV/atom.

The space group is I4/mmm (No. 139) and the conventional cell measures 8.318, 8.318 and 3.906 Å, with angles of 90.00, 90.00 and 90.00 degrees. The asymmetric unit holds Hg at (0.000, 0.000, 0.000), Os at (0.000, 0.345, 0.000) and Os at (0.178, 0.178, 0.500).



Entry 2:
DFT (GGA-PBE) results for crystalline Hg3Os at its relaxed geometry.

The density of states at the Fermi level comes out at 1.58 states/eV/f.u. The value obtained for the density is 17.015 g cm⁻³. The energy relative to the lowest polymorph listed for this composition is 205 meV per atom. For the formation energy from the elements, the calculation gives 807 meV/atom.

The space group is P6_3/mmc (No. 194) and the conventional cell measures 6.0097, 6.0097 and 9.8849 Å, with angles of 90.00, 90.00 and 120.00 degrees. The asymmetric unit holds Hg at (0.0000, 0.5000, 0.0000), Hg at (0.1614, 0.3229, 0.2500), Os at (0.0000, 0.0000, 0.0000) and Os at (0.3333, 0.6667, 0.7500).



Entry 3:
DFT (GGA-PBE) results for crystalline Hg2Os at its relaxed geometry.

The density of states at the Fermi level comes out at 2.30 states/eV/f.u. The value obtained for the density is 16.058 g cm⁻³. For the formation energy from the elements, the calculation gives 653 meV/atom.

The space group is C2/m (No. 12) and the conventional cell measures 12.162, 2.860 and 8.123 Å, with angles of 90.00, 120.01 and 90.00 degrees. The asymmetric unit holds Hg at (0.041, 0.000, 0.220), Hg at (0.154, 0.500, 0.604) and Os at (0.187, 0.500, 0.049).



Copy entry 2 word for word.
DFT (GGA-PBE) results for crystalline Hg3Os at its relaxed geometry.

The density of states at the Fermi level comes out at 1.58 states/eV/f.u. The value obtained for the density is 17.015 g cm⁻³. The energy relative to the lowest polymorph listed for this composition is 205 meV per atom. For the formation energy from the elements, the calculation gives 807 meV/atom.

The space group is P6_3/mmc (No. 194) and the conventional cell measures 6.0097, 6.0097 and 9.8849 Å, with angles of 90.00, 90.00 and 120.00 degrees. The asymmetric unit holds Hg at (0.0000, 0.5000, 0.0000), Hg at (0.1614, 0.3229, 0.2500), Os at (0.0000, 0.0000, 0.0000) and Os at (0.3333, 0.6667, 0.7500).